#A
Compound: LiMg3P
Source: Alexandria via LeMat-Bulk
Functional: PBE-GGA
Structure: optimized geometry

Structure (extended XYZ):
```
5
Lattice="4.978 0.000 0.000 0.000 4.978 0.000 0.000 0.000 4.978" Properties=species:S:1:pos:R:3 pbc="T T T"
Li 0.000 0.000 0.000
Mg 0.000 2.489 2.489
Mg 2.489 0.000 2.489
Mg 2.489 2.489 0.000
P 2.489 2.489 2.489
```

## Properties
space group = Pm-3m, No. 221

***

#B
Compound: LiMg3P
Source: Alexandria via LeMat-Bulk
Functional: PBE-GGA
Structure: optimized geometry

Structure (extended XYZ):
```
5
Lattice="4.785 0.000 0.000 0.000 4.785 0.000 0.000 0.000 4.785" Properties=species:S:1:pos:R:3 pbc="T T T"
Li 0.000 0.000 0.000
Mg 0.000 0.000 2.392
Mg 0.000 2.392 0.000
Mg 2.392 0.000 0.000
P 2.392 2.392 2.392
```

## Properties
space group = Pm-3m, No. 221

***

Which of them is most stable? Easy: #A.

***

#A
Compound: LiMgP2S
Source: Alexandria via LeMat-Bulk
Functional: PBE-GGA
Structure: optimized geometry

Structure (extended XYZ):
```
5
Lattice="4.827 0.000 0.000 0.000 4.827 0.000 0.000 0.000 4.902" Properties=species:S:1:pos:R:3 pbc="T T T"
Li 0.000 0.000 0.000
Mg 2.414 2.414 2.451
P 0.000 2.414 2.451
P 2.414 0.000 2.451
S 2.414 2.414 0.000
```

## Properties
space group = P4/mmm, No. 123

***

#B
Compound: LiMgP2S
Source: Alexandria via LeMat-Bulk
Functional: PBE-GGA
Structure: optimized geometry

Structure (extended XYZ):
```
5
Lattice="4.277 0.000 0.000 0.000 4.277 0.000 0.000 0.000 4.847" Properties=species:S:1:pos:R:3 pbc="T T T"
Li 0.000 0.000 0.000
Mg 2.138 2.138 2.424
P 0.000 2.138 0.000
P 2.138 0.000 0.000
S 0.000 0.000 2.424
```

## Properties
space group = P4/mmm, No. 123

***

Which of them is most stable? Easy: #B.

***

#A
Compound: Li2MgPb2
Source: Alexandria via LeMat-Bulk
Functional: PBE-GGA
Structure: optimized geometry

Structure (extended XYZ):
```
5
Lattice="4.751 -2.238 0.000 4.751 2.238 0.000 -4.691 0.000 5.455" Properties=species:S:1:pos:R:3 pbc="T T T"
Li -0.977 0.000 2.102
Li 5.787 0.000 3.353
Mg 4.751 0.000 0.000
Pb 1.853 0.000 1.216
Pb 2.957 0.000 4.239
```

## Properties
space group = C2/m, No. 12

***

#B
Compound: Li2MgPb2
Source: Alexandria via LeMat-Bulk
Functional: PBE-GGA
Structure: optimized geometry

Structure (extended XYZ):
```
10
Lattice="8.110 0.000 0.000 0.000 8.110 0.000 0.000 0.000 3.599" Properties=species:S:1:pos:R:3 pbc="T T T"
Li 1.261 2.794 0.000
Li 2.794 6.849 0.000
Li 5.317 1.261 0.000
Li 6.849 5.317 0.000
Mg 0.000 0.000 1.799
Mg 4.055 4.055 1.799
Pb 1.155 5.210 1.799
Pb 2.900 1.155 1.799
Pb 5.210 6.955 1.799
Pb 6.955 2.900 1.799
```

## Properties
space group = P4/mbm, No. 127

***

#C
Compound: Li2MgPb2
Source: Alexandria via LeMat-Bulk
Functional: PBE-GGA
Structure: optimized geometry

Structure (extended XYZ):
```
10
Lattice="7.985 0.000 0.000 0.000 7.985 0.000 0.000 0.000 3.551" Properties=species:S:1:pos:R:3 pbc="T T T"
Li 0.953 3.040 0.000
Li 3.040 7.032 0.000
Li 4.946 0.953 0.000
Li 7.032 4.946 0.000
Mg 0.000 0.000 0.000
Mg 3.993 3.993 0.000
Pb 1.441 5.434 1.775
Pb 2.551 1.441 1.775
Pb 5.434 6.544 1.775
Pb 6.544 2.551 1.775
```

## Properties
space group = P4/mbm, No. 127

***

Which of them is most stable? Easy: #A.

***

#A
Compound: LiMg3Pb4
Source: Alexandria via LeMat-Bulk
Functional: PBE-GGA
Structure: optimized geometry

Structure (extended XYZ):
```
8
Lattice="3.770 0.000 0.000 0.000 3.770 0.000 0.000 0.000 14.337" Properties=species:S:1:pos:R:3 pbc="T T T"
Li 0.000 0.000 0.000
Mg 0.000 0.000 3.519
Mg 0.000 0.000 7.169
Mg 0.000 0.000 10.818
Pb 1.885 1.885 1.738
Pb 1.885 1.885 5.350
Pb 1.885 1.885 8.987
Pb 1.885 1.885 12.599
```

## Properties
space group = P4/mmm, No. 123

***

#B
Compound: LiMg3Pb4
Source: Alexandria via LeMat-Bulk
Functional: PBE-GGA
Structure: optimized geometry

Structure (extended XYZ):
```
8
Lattice="3.541 0.000 0.000 0.000 5.029 0.000 0.000 0.000 11.650" Properties=species:S:1:pos:R:3 pbc="T T T"
Li 0.000 0.000 0.000
Mg 0.000 2.514 9.787
Mg 1.771 0.000 5.863
Mg 1.771 2.514 3.930
Pb 0.000 0.000 3.001
Pb 0.000 2.514 6.646
Pb 1.771 0.000 9.057
Pb 1.771 2.514 0.797
```

## Properties
space group = Pmm2, No. 25

***

Which of them is most stable? Easy: #A.

***

#A
Compound: Li7Mg2Pb
Source: Alexandria via LeMat-Bulk
Functional: PBE-GGA
Structure: optimized geometry

Structure (extended XYZ):
```
10
Lattice="4.807 0.000 0.000 -2.403 4.163 0.000 0.000 0.000 10.061" Properties=species:S:1:pos:R:3 pbc="T T T"
Li 0.000 0.000 0.000
Li 0.000 0.000 2.289
Li 0.000 0.000 4.736
Li 0.000 2.775 2.731
Li 0.000 2.775 9.805
Li 2.403 1.388 4.564
Li 2.403 1.388 8.279
Mg 0.000 0.000 7.369
Mg 0.000 2.775 6.122
Pb 2.403 1.388 1.357
```

## Properties
space group = P3m1, No. 156

***

#B
Compound: Li7Mg2Pb
Source: Alexandria via LeMat-Bulk
Functional: PBE-GGA
Structure: optimized geometry

Structure (extended XYZ):
```
10
Lattice="2.720 -12.540 0.000 2.720 12.540 0.000 0.000 0.000 3.010" Properties=species:S:1:pos:R:3 pbc="T T T"
Li 0.000 0.000 0.000
Li 1.398 2.456 0.000
Li 2.720 4.835 1.505
Li 1.398 -2.456 0.000
Li 4.041 2.456 0.000
Li 2.720 -4.835 1.505
Li 4.041 -2.456 0.000
Mg 2.720 7.425 0.000
Mg 2.720 -7.425 0.000
Pb 2.720 0.000 1.505
```

## Properties
space group = Cmmm, No. 65

***

Which of them is most stable? Easy: #A.

***

#A
Compound: Li8MgPb2
Source: Alexandria via LeMat-Bulk
Functional: PBE-GGA
Structure: optimized geometry

Structure (extended XYZ):
```
11
Lattice="4.982 0.000 0.000 -0.040 6.052 0.000 -2.478 -2.981 7.168" Properties=species:S:1:pos:R:3 pbc="T T T"
Li -0.080 1.660 1.937
Li 0.041 4.427 1.953
Li -1.169 -2.727 7.161
Li -0.011 0.017 4.201
Li 2.475 3.053 2.968
Li 3.633 5.797 0.007
Li 2.423 -1.356 5.216
Li 2.544 1.410 5.231
Mg 2.471 3.026 0.000
Pb -0.018 3.039 4.609
Pb 2.482 0.032 2.560
```

## Properties
space group = P-1, No. 2

***

#B
Compound: Li8MgPb2
Source: Alexandria via LeMat-Bulk
Functional: PBE-GGA
Structure: optimized geometry

Structure (extended XYZ):
```
11
Lattice="7.095 -2.371 0.000 7.095 2.371 0.000 -3.455 0.000 6.445" Properties=species:S:1:pos:R:3 pbc="T T T"
Li -0.318 0.000 1.420
Li -0.351 0.000 4.535
Li 2.483 0.000 3.898
Li 5.497 0.000 0.276
Li 5.238 0.000 6.169
Li 8.252 0.000 2.546
Li 11.086 0.000 1.910
Li 11.053 0.000 5.025
Mg 5.368 0.000 3.222
Pb 2.520 0.000 1.038
Pb 8.215 0.000 5.407
```

## Properties
space group = C2/m, No. 12

***

Which of them is most stable? Easy: #B.

***

#A
Compound: LiMg6Pb
Source: Alexandria via LeMat-Bulk
Functional: PBE-GGA
Structure: optimized geometry

Structure (extended XYZ):
```
8
Lattice="4.545 0.000 0.000 0.000 4.506 4.488 0.000 -4.506 4.488" Properties=species:S:1:pos:R:3 pbc="T T T"
Li 0.000 0.000 0.000
Mg 0.000 0.000 4.494
Mg 0.000 -2.201 6.715
Mg 0.000 2.201 6.715
Mg 2.273 -2.235 4.462
Mg 2.273 2.235 4.462
Mg 2.273 0.000 6.748
Pb 2.273 0.000 2.141
```

## Properties
space group = Amm2, No. 38

***

#B
Compound: LiMg6Pb
Source: Alexandria via LeMat-Bulk
Functional: PBE-GGA
Structure: optimized geometry

Structure (extended XYZ):
```
8
Lattice="6.488 0.000 0.000 -3.244 5.618 0.000 0.000 0.000 5.087" Properties=species:S:1:pos:R:3 pbc="T T T"
Li 0.000 0.000 0.000
Mg 1.582 0.913 2.544
Mg 3.244 0.065 0.000
Mg 1.678 2.777 0.000
Mg 4.906 0.913 2.544
Mg 3.244 3.792 2.544
Mg 4.809 2.777 0.000
Pb 0.000 3.746 2.544
```

## Properties
space group = P-6m2, No. 187

***

Which of them is most stable? Easy: #A.

***

#A
Compound: Li2Mg3Pb3
Source: Alexandria via LeMat-Bulk
Functional: PBE-GGA
Structure: optimized geometry

Structure (extended XYZ):
```
8
Lattice="7.888 0.000 0.000 -3.944 6.831 0.000 0.000 0.000 3.533" Properties=species:S:1:pos:R:3 pbc="T T T"
Li 0.000 4.554 0.000
Li 3.944 2.277 0.000
Mg -2.986 5.173 0.000
Mg 0.958 1.659 0.000
Mg 5.973 0.000 0.000
Pb -1.515 2.624 1.767
Pb 3.030 0.000 1.767
Pb 2.429 4.208 1.767
```

## Properties
space group = P-62m, No. 189

***

#B
Compound: Li2Mg3Pb3
Source: Alexandria via LeMat-Bulk
Functional: PBE-GGA
Structure: optimized geometry

Structure (extended XYZ):
```
8
Lattice="4.788 0.000 0.000 0.000 4.816 0.000 0.000 0.000 8.261" Properties=species:S:1:pos:R:3 pbc="T T T"
Li 0.000 0.000 2.026
Li 0.000 0.000 6.234
Mg 2.394 0.000 0.000
Mg 2.394 2.408 2.038
Mg 2.394 2.408 6.222
Pb 0.000 2.408 0.000
Pb 0.000 2.408 4.130
Pb 2.394 0.000 4.130
```

## Properties
space group = Pmmm, No. 47

***

Which of them is most stable? Easy: #B.

***

#A
Compound: LiMgPb5
Source: Alexandria via LeMat-Bulk
Functional: PBE-GGA
Structure: optimized geometry

Structure (extended XYZ):
```
7
Lattice="-2.607 4.165 5.461 2.607 -4.165 5.461 2.607 4.165 -5.461" Properties=species:S:1:pos:R:3 pbc="T T T"
Li 0.000 0.000 0.000
Mg 0.000 0.000 5.461
Pb 2.607 0.000 0.000
Pb 0.000 0.000 2.581
Pb 0.000 2.585 0.000
Pb 0.000 5.746 0.000
Pb 0.000 0.000 8.340
```

## Properties
space group = Immm, No. 71

***

#B
Compound: LiMgPb5
Source: Alexandria via LeMat-Bulk
Functional: PBE-GGA
Structure: optimized geometry

Structure (extended XYZ):
```
14
Lattice="7.873 -4.061 0.000 7.873 4.061 0.000 -1.997 0.000 6.185" Properties=species:S:1:pos:R:3 pbc="T T T"
Li 6.376 2.102 4.638
Li 7.374 -2.102 1.546
Mg 3.937 2.030 0.000
Mg 2.938 -2.030 3.092
Pb 1.773 0.841 3.074
Pb 7.374 2.841 1.546
Pb 0.774 -0.841 6.166
Pb 5.334 0.064 2.237
Pb 4.335 -0.064 5.329
Pb 9.414 0.064 0.855
Pb 8.416 -0.064 3.948
Pb 12.975 0.841 0.018
Pb 6.376 -2.841 4.638
Pb 11.977 -0.841 3.111
```

## Properties
space group = C2/c, No. 15

***

Which of them is most stable? Easy: #B.

***

#A
Compound: LiMg2Pb4
Source: Alexandria via LeMat-Bulk
Functional: PBE-GGA
Structure: optimized geometry

Structure (extended XYZ):
```
14
Lattice="5.319 0.000 0.000 0.000 6.880 0.000 -2.416 0.000 10.459" Properties=species:S:1:pos:R:3 pbc="T T T"
Li -0.013 1.720 1.698
Li 2.916 5.160 8.761
Mg 0.139 5.160 4.301
Mg 2.622 1.720 0.104
Mg 0.281 5.160 10.355
Mg 2.764 1.720 6.158
Pb 0.044 5.160 1.271
Pb 0.070 1.720 4.614
Pb 0.203 3.467 7.578
Pb 0.203 6.853 7.578
Pb 2.700 0.027 2.881
Pb 2.700 3.413 2.881
Pb 2.833 5.160 5.845
Pb 2.859 1.720 9.188
```

## Properties
space group = P2_1/m, No. 11

***

#B
Compound: LiMg2Pb4
Source: Alexandria via LeMat-Bulk
Functional: PBE-GGA
Structure: optimized geometry

Structure (extended XYZ):
```
7
Lattice="3.733 -5.059 0.000 3.733 5.059 0.000 0.000 0.000 5.037" Properties=species:S:1:pos:R:3 pbc="T T T"
Li 0.000 0.000 0.000
Mg 3.733 2.695 2.518
Mg 3.733 -2.695 2.518
Pb 1.866 2.530 0.000
Pb 2.059 0.000 2.518
Pb 1.866 -2.530 0.000
Pb 5.407 0.000 2.518
```

## Properties
space group = Cmmm, No. 65

***

Which of them is most stable? Easy: #B.

***

#A
Compound: Li6Mg5Pb
Source: Alexandria via LeMat-Bulk
Functional: PBE-GGA
Structure: optimized geometry

Structure (extended XYZ):
```
12
Lattice="4.271 -7.149 0.000 4.271 7.149 0.000 -2.608 0.000 3.952" Properties=species:S:1:pos:R:3 pbc="T T T"
Li 0.174 2.366 2.959
Li 1.449 0.000 0.965
Li 0.174 -2.366 2.959
Li 5.758 2.366 0.992
Li 4.483 0.000 2.986
Li 5.758 -2.366 0.992
Mg 4.271 4.731 0.000
Mg 2.966 2.348 1.976
Mg 4.271 0.000 0.000
Mg 2.966 -2.348 1.976
Mg 4.271 -4.731 0.000
Pb -1.304 0.000 1.976
```

## Properties
space group = C2/m, No. 12

***

#B
Compound: Li6Mg5Pb
Source: Alexandria via LeMat-Bulk
Functional: PBE-GGA
Structure: optimized geometry

Structure (extended XYZ):
```
12
Lattice="5.210 -5.709 0.000 5.210 5.709 0.000 -2.148 0.000 4.228" Properties=species:S:1:pos:R:3 pbc="T T T"
Li 0.925 1.870 3.134
Li 1.971 0.000 1.009
Li 0.925 -1.870 3.134
Li 7.348 1.870 1.094
Li 6.302 0.000 3.219
Li 7.348 -1.870 1.094
Mg 5.210 3.674 0.000
Mg 4.136 1.781 2.114
Mg 5.210 0.000 0.000
Mg 4.136 -1.781 2.114
Mg 5.210 -3.674 0.000
Pb -1.074 0.000 2.114
```

## Properties
space group = C2/m, No. 12

***

Which of them is most stable? Easy: #A.